1.
# K3Zn2Sn7, optimized geometry, DFT PBE
data_K3Zn2Sn7
_chemical_formula_sum 'K3 Zn2 Sn7'
_space_group_name_H-M_alt 'P 1 2/m 1'
_space_group_IT_number 10
_cell_length_a 6.199
_cell_length_b 3.506
_cell_length_c 17.560
_cell_angle_alpha 90.00
_cell_angle_beta 96.33
_cell_angle_gamma 90.00
loop_
_space_group_symop_operation_xyz
'x,y,z'
'-x,-y,-z'
'-x,y,-z'
'x,-y,z'
loop_
_atom_site_label
_atom_site_type_symbol
_atom_site_fract_x
_atom_site_fract_y
_atom_site_fract_z
K1 K 0.000 0.000 0.000
K2 K 0.229 0.000 0.432
Zn1 Zn 0.370 0.500 0.855
Sn1 Sn 0.005 0.500 0.753
Sn2 Sn 0.284 0.500 0.624
Sn3 Sn 0.447 0.000 0.252
Sn4 Sn 0.500 0.500 0.000
# - Energy of formation from the pure elements: -0.025 eV/atom
# - Total magnetization: 0.0 μB/cell

=====

2.
# KZnSn2, optimized geometry, DFT PBE
data_KZnSn2
_chemical_formula_sum 'K4 Zn4 Sn8'
_space_group_name_H-M_alt 'C c c m'
_space_group_IT_number 66
_space_group_name_Hall '-C 2 2c'
_cell_length_a 6.962
_cell_length_b 13.240
_cell_length_c 5.451
_cell_angle_alpha 90.00
_cell_angle_beta 90.00
_cell_angle_gamma 90.00
loop_
_atom_site_label
_atom_site_type_symbol
_atom_site_fract_x
_atom_site_fract_y
_atom_site_fract_z
K1 K 0.250 0.250 0.000
Zn1 Zn 0.000 0.000 0.250
Sn1 Sn 0.175 0.431 0.500
# - Energy of formation from the pure elements: -0.104 eV/atom
# - Total magnetization: 0.0 μB/cell

=====

3.
# KZn4Sn4, optimized geometry, DFT PBE
data_KZn4Sn4
_chemical_formula_sum 'K2 Zn8 Sn8'
_space_group_name_H-M_alt 'P 42/n'
_space_group_IT_number 86
_cell_length_a 9.116
_cell_length_b 9.116
_cell_length_c 5.789
_cell_angle_alpha 90.00
_cell_angle_beta 90.00
_cell_angle_gamma 90.00
loop_
_space_group_symop_operation_xyz
'x,y,z'
'-x,-y,-z'
'-y,x+1/2,z+1/2'
'y,-x+1/2,-z+1/2'
'-x+1/2,-y+1/2,z'
'x+1/2,y+1/2,-z'
'y+1/2,-x,z+1/2'
'-y+1/2,x,-z+1/2'
loop_
_atom_site_label
_atom_site_type_symbol
_atom_site_fract_x
_atom_site_fract_y
_atom_site_fract_z
K1 K 0.250 0.250 0.250
Zn1 Zn 0.080 0.911 0.124
Sn1 Sn 0.106 0.610 0.126
# - Energy of formation from the pure elements: 0.013 eV/atom
# - Total magnetization: 0.0 μB/cell

=====

4.
# KZnSn, optimized geometry, DFT PBE
data_KZnSn
_chemical_formula_sum 'K1 Zn1 Sn1'
_space_group_name_H-M_alt 'P -6 m 2'
_space_group_IT_number 187
_space_group_name_Hall 'P -6 2'
_cell_length_a 4.7255
_cell_length_b 4.7255
_cell_length_c 4.9147
_cell_angle_alpha 90.00
_cell_angle_beta 90.00
_cell_angle_gamma 120.00
loop_
_atom_site_label
_atom_site_type_symbol
_atom_site_fract_x
_atom_site_fract_y
_atom_site_fract_z
K1 K 0.0000 0.0000 0.0000
Zn1 Zn 0.6667 0.3333 0.5000
Sn1 Sn 0.3333 0.6667 0.5000
# - Energy of formation from the pure elements: -0.093 eV/atom
# - Energy above the most stable polymorph in this dataset: 17 meV/atom
# - Total magnetization: 0.0 μB/cell

=====

5.
# K2ZnSn, optimized geometry, DFT PBE
data_K2ZnSn
_chemical_formula_sum 'K8 Zn4 Sn4'
_space_group_name_H-M_alt 'I -4 2 d'
_space_group_IT_number 122
_space_group_name_Hall 'I -4 2bw'
_cell_length_a 12.594
_cell_length_b 12.594
_cell_length_c 5.225
_cell_angle_alpha 90.00
_cell_angle_beta 90.00
_cell_angle_gamma 90.00
loop_
_atom_site_label
_atom_site_type_symbol
_atom_site_fract_x
_atom_site_fract_y
_atom_site_fract_z
K1 K 0.072 0.250 0.125
Zn1 Zn 0.000 0.000 0.000
Sn1 Sn 0.000 0.000 0.500
# - Energy of formation from the pure elements: 0.052 eV/atom
# - Total magnetization: 0.0 μB/cell

=====

6.
# KZr3Sn, optimized geometry, DFT PBE
data_KZr3Sn
_chemical_formula_sum 'K1 Zr3 Sn1'
_space_group_name_H-M_alt 'P m -3 m'
_space_group_IT_number 221
_space_group_name_Hall '-P 4 2 3'
_cell_length_a 5.511
_cell_length_b 5.511
_cell_length_c 5.511
_cell_angle_alpha 90.00
_cell_angle_beta 90.00
_cell_angle_gamma 90.00
loop_
_atom_site_label
_atom_site_type_symbol
_atom_site_fract_x
_atom_site_fract_y
_atom_site_fract_z
K1 K 0.000 0.000 0.000
Zr1 Zr 0.000 0.500 0.500
Sn1 Sn 0.500 0.500 0.500
# - Energy of formation from the pure elements: 0.980 eV/atom
# - Energy above the most stable polymorph in this dataset: 0 meV/atom
# - Total magnetization: 0.0 μB/cell

=====

7.
# KZrSn2, optimized geometry, DFT PBE
data_KZrSn2
_chemical_formula_sum 'K4 Zr4 Sn8'
_space_group_name_H-M_alt 'I -4 2 d'
_space_group_IT_number 122
_space_group_name_Hall 'I -4 2bw'
_cell_length_a 5.993
_cell_length_b 5.993
_cell_length_c 18.803
_cell_angle_alpha 90.00
_cell_angle_beta 90.00
_cell_angle_gamma 90.00
loop_
_atom_site_label
_atom_site_type_symbol
_atom_site_fract_x
_atom_site_fract_y
_atom_site_fract_z
K1 K 0.000 0.000 0.000
Zr1 Zr 0.000 0.000 0.500
Sn1 Sn 0.095 0.250 0.625
# - Energy of formation from the pure elements: 0.243 eV/atom
# - Energy above the most stable polymorph in this dataset: 473 meV/atom
# - Total magnetization: 0.0 μB/cell

=====

8.
# KZrSn2, optimized geometry, DFT PBE
data_KZrSn2
_chemical_formula_sum 'K4 Zr4 Sn8'
_space_group_name_H-M_alt 'F m -3 m'
_space_group_IT_number 225
_space_group_name_Hall '-F 4 2 3'
_cell_length_a 7.543
_cell_length_b 7.543
_cell_length_c 7.543
_cell_angle_alpha 90.00
_cell_angle_beta 90.00
_cell_angle_gamma 90.00
loop_
_atom_site_label
_atom_site_type_symbol
_atom_site_fract_x
_atom_site_fract_y
_atom_site_fract_z
K1 K 0.000 0.000 0.000
Zr1 Zr 0.000 0.000 0.500
Sn1 Sn 0.250 0.250 0.250
# - Energy of formation from the pure elements: 0.140 eV/atom
# - Energy above the most stable polymorph in this dataset: 370 meV/atom
# - Total magnetization: 0.0 μB/cell

=====

9.
# KZr2Sn, optimized geometry, DFT PBE
data_KZr2Sn
_chemical_formula_sum 'K4 Zr8 Sn4'
_space_group_name_H-M_alt 'I -4 2 d'
_space_group_IT_number 122
_space_group_name_Hall 'I -4 2bw'
_cell_length_a 4.894
_cell_length_b 4.894
_cell_length_c 21.454
_cell_angle_alpha 90.00
_cell_angle_beta 90.00
_cell_angle_gamma 90.00
loop_
_atom_site_label
_atom_site_type_symbol
_atom_site_fract_x
_atom_site_fract_y
_atom_site_fract_z
K1 K 0.000 0.000 0.000
Zr1 Zr 0.121 0.250 0.625
Sn1 Sn 0.000 0.000 0.500
# - Energy of formation from the pure elements: 0.694 eV/atom
# - Total magnetization: 0.0 μB/cell

=====

10.
# K2ZrSn, optimized geometry, DFT PBE
data_K2ZrSn
_chemical_formula_sum 'K8 Zr4 Sn4'
_space_group_name_H-M_alt 'I -4 2 d'
_space_group_IT_number 122
_space_group_name_Hall 'I -4 2bw'
_cell_length_a 12.179
_cell_length_b 12.179
_cell_length_c 5.707
_cell_angle_alpha 90.00
_cell_angle_beta 90.00
_cell_angle_gamma 90.00
loop_
_atom_site_label
_atom_site_type_symbol
_atom_site_fract_x
_atom_site_fract_y
_atom_site_fract_z
K1 K 0.125 0.750 0.125
Zr1 Zr 0.000 0.000 0.500
Sn1 Sn 0.000 0.000 0.000
# - Energy of formation from the pure elements: 0.612 eV/atom
# - Total magnetization: 8.0 μB/cell

=====

11.
# KZr3Sn, optimized geometry, DFT PBE
data_KZr3Sn
_chemical_formula_sum 'K1 Zr3 Sn1'
_space_group_name_H-M_alt 'P m -3 m'
_space_group_IT_number 221
_space_group_name_Hall '-P 4 2 3'
_cell_length_a 4.965
_cell_length_b 4.965
_cell_length_c 4.965
_cell_angle_alpha 90.00
_cell_angle_beta 90.00
_cell_angle_gamma 90.00
loop_
_atom_site_label
_atom_site_type_symbol
_atom_site_fract_x
_atom_site_fract_y
_atom_site_fract_z
K1 K 0.000 0.000 0.000
Zr1 Zr 0.000 0.000 0.500
Sn1 Sn 0.500 0.500 0.500
# - Energy of formation from the pure elements: 1.689 eV/atom
# - Energy above the most stable polymorph in this dataset: 709 meV/atom
# - Total magnetization: 2.6 μB/cell

=====

12.
# KZrSn2, optimized geometry, DFT PBE
data_KZrSn2
_chemical_formula_sum 'K1 Zr1 Sn2'
_space_group_name_H-M_alt 'P 4/m m m'
_space_group_IT_number 123
_space_group_name_Hall '-P 4 2'
_cell_length_a 3.848
_cell_length_b 3.848
_cell_length_c 7.982
_cell_angle_alpha 90.00
_cell_angle_beta 90.00
_cell_angle_gamma 90.00
loop_
_atom_site_label
_atom_site_type_symbol
_atom_site_fract_x
_atom_site_fract_y
_atom_site_fract_z
K1 K 0.000 0.000 0.000
Zr1 Zr 0.000 0.000 0.500
Sn1 Sn 0.500 0.500 0.316
# - Energy of formation from the pure elements: -0.230 eV/atom
# - Energy above the most stable polymorph in this dataset: 0 meV/atom
# - Total magnetization: 0.0 μB/cell